VASP calculation (PBE) on CrBSe2 after structural relaxation.

Cell lengths 7.654, 7.654, 7.654 Å; angles 25.01, 25.01, 25.01 degrees
Each line ends with the local moment (μB).
Positions (direct):
Cr1 0.000 0.000 0.000  3.50
B1 0.500 0.500 0.500  0.03
Se1 0.890 0.890 0.890  -0.09
Se2 0.110 0.110 0.110  -0.09



VASP calculation (PBE) on CrTcB2Se after structural relaxation.

Cell lengths 3.894, 4.673, 3.894 Å; angles 90.00, 90.00, 90.00 degrees
Each line ends with the local moment (μB).
Positions (direct):
Cr1 0.000 0.000 0.000  0.71
B1 0.000 0.000 0.500  0.01
B2 0.500 0.000 0.000  -0.02
Tc1 0.500 0.500 0.500  2.50
Se1 0.000 0.500 0.000  -0.04



VASP calculation (PBE) on TiCrB2Se after structural relaxation.

Cell lengths 4.016, 4.643, 4.016 Å; angles 90.00, 90.00, 90.00 degrees
Each line ends with the local moment (μB).
Positions (direct):
Cr1 0.500 0.500 0.500  -0.05
B1 0.000 0.000 0.500  0.00
B2 0.500 0.000 0.000  -0.01
Se1 0.000 0.000 0.000  0.00
Ti1 0.000 0.500 0.000  0.05



VASP calculation (PBE) on Cr5SiB2 after structural relaxation.

Cell lengths 5.590, 5.590, 6.511 Å; angles 115.42, 115.42, 90.00 degrees
Positions (direct):
Cr1 0.530 0.695 0.725
Cr2 0.805 0.970 0.275
Cr3 0.000 0.000 0.000
Cr4 0.500 0.500 0.000
Cr5 0.195 0.030 0.725
Cr6 0.695 0.195 0.725
Cr7 0.030 0.530 0.725
Cr8 0.305 0.805 0.275
Cr9 0.970 0.470 0.275
Cr10 0.470 0.305 0.275
Si1 0.750 0.750 0.500
Si2 0.250 0.250 0.500
B1 0.119 0.381 0.000
B2 0.619 0.119 0.000
B3 0.381 0.881 0.000
B4 0.881 0.619 0.000



Computed values of total magnetic moment (unit: Bohr magnetons per cell) for the preceding records, in sequence: 3.8; 3.3; 0.0; 0.0.
Computed values of VASP energy (unit: eV/cell) for the preceding records, in sequence: -20.70; -30.38; -25.22; -140.20.